(1)
# ZrCrIn2Re

A relaxed structure of ZrCrIn2Re (PBE, Alexandria via LeMat-Bulk).

Calculated values
M_tot (μB per formula unit): 5.10
Final energy (eV/atom): -6.363
Density (Mg/m³): 6.87
Symmetry: No. 123

abc: 5.2411 5.2411 4.9193
angles: 90.00 90.00 90.00
Positions (direct):
Zr: 0.0000 0.0000 0.0000
Cr: 0.5000 0.5000 0.0000
In: 0.0000 0.5000 0.5000
In: 0.5000 0.0000 0.5000
Re: 0.0000 0.0000 0.5000

***

(2)
# CrIn3Rh

A relaxed structure of CrIn3Rh (PBE, Alexandria via LeMat-Bulk).

Calculated values
M_tot (μB per formula unit): 5.20
Final energy (eV/atom): -4.706
Density (Mg/m³): 6.21
Symmetry: No. 221
Energy above the most stable polymorph in this dataset (meV per atom): 0

abc: 5.1101 5.1101 5.1101
angles: 90.00 90.00 90.00
Positions (direct):
Cr: 0.0000 0.0000 0.0000
In: 0.0000 0.5000 0.5000
In: 0.5000 0.0000 0.5000
In: 0.5000 0.5000 0.0000
Rh: 0.5000 0.5000 0.5000

***

(3)
# CrInRh

A relaxed structure of CrInRh (PBE, Alexandria via LeMat-Bulk).

Calculated values
M_tot (μB per formula unit): 1.69
Final energy (eV/atom): -6.545
Density (Mg/m³): 9.41
Symmetry: No. 107

abc: 5.9298 5.9298 5.9298
angles: 151.43 151.43 40.85
Positions (direct):
Cr: 0.0000 0.0000 0.0000
In: 0.6822 0.6822 0.0000
Rh: 0.3671 0.3671 0.0000

***

(4)
# CrIn2Rh2

A relaxed structure of CrIn2Rh2 (PBE, Alexandria via LeMat-Bulk).

Calculated values
M_tot (μB per formula unit): 0.07
Final energy (eV/atom): -5.290
Density (Mg/m³): 8.54
Symmetry: No. 139
Energy above the most stable polymorph in this dataset (meV per atom): 612

abc: 6.8661 6.8661 6.8661
angles: 147.18 147.18 47.10
Positions (direct):
Cr: 0.0000 0.0000 0.0000
In: 0.2500 0.7500 0.5000
In: 0.7500 0.2500 0.5000
Rh: 0.4025 0.4025 0.0000
Rh: 0.5975 0.5975 0.0000

***

(5)
# CrInRh

A relaxed structure of CrInRh (PBE, Alexandria via LeMat-Bulk).

Calculated values
M_tot (μB per formula unit): 2.77
Final energy (eV/atom): -6.357
Density (Mg/m³): 8.92
Symmetry: No. 156

abc: 2.9883 2.9883 6.4911
angles: 90.00 90.00 120.00
Positions (direct):
Cr: 0.0000 0.0000 0.0000
In: 0.3333 0.6667 0.3607
Rh: 0.6667 0.3333 0.7125

***

(6)
# CrIn2Rh2

A relaxed structure of CrIn2Rh2 (PBE, Alexandria via LeMat-Bulk).

Calculated values
M_tot (μB per formula unit): 0.00
Final energy (eV/atom): -5.902
Density (Mg/m³): 9.33
Symmetry: No. 127
Energy above the most stable polymorph in this dataset (meV per atom): 0

abc: 6.4428 6.4428 4.1777
angles: 90.00 90.00 90.00
Positions (direct):
Cr: 0.0000 0.0000 0.0000
Cr: 0.5000 0.5000 0.0000
In: 0.1676 0.3324 0.5000
In: 0.3324 0.8324 0.5000
In: 0.6676 0.1676 0.5000
In: 0.8324 0.6676 0.5000
Rh: 0.1450 0.6450 0.0000
Rh: 0.3550 0.1450 0.0000
Rh: 0.6450 0.8550 0.0000
Rh: 0.8550 0.3550 0.0000

***

(7)
# Cr4InRh

A relaxed structure of Cr4InRh (PBE, Alexandria via LeMat-Bulk).

Calculated values
M_tot (μB per formula unit): 0.00
Final energy (eV/atom): -7.913
Density (Mg/m³): 8.74
Symmetry: No. 216

abc: 4.8549 4.8549 4.8549
angles: 60.00 60.00 60.00
Positions (direct):
Cr: 0.1233 0.1233 0.1233
Cr: 0.1233 0.1233 0.6300
Cr: 0.1233 0.6300 0.1233
Cr: 0.6300 0.1233 0.1233
In: 0.7500 0.7500 0.7500
Rh: 0.5000 0.5000 0.5000

***

(8)
# CrInRh

A relaxed structure of CrInRh (PBE, Alexandria via LeMat-Bulk).

Calculated values
M_tot (μB per formula unit): 3.50
Final energy (eV/atom): -6.483
Density (Mg/m³): 8.89
Symmetry: No. 187

abc: 4.4079 4.4079 2.9938
angles: 90.00 90.00 120.00
Positions (direct):
Cr: 0.0000 0.0000 0.0000
In: 0.6667 0.3333 0.5000
Rh: 0.3333 0.6667 0.0000

***

(9)
# CrInRuRh

A relaxed structure of CrInRuRh (PBE, Alexandria via LeMat-Bulk).

Calculated values
M_tot (μB per formula unit): 2.13
Final energy (eV/atom): -7.279
Density (Mg/m³): 10.07
Symmetry: No. 216

abc: 4.4217 4.4217 4.4217
angles: 60.00 60.00 60.00
Positions (direct):
Cr: 0.0000 0.0000 0.0000
In: 0.5000 0.5000 0.5000
Ru: 0.2500 0.2500 0.2500
Rh: 0.7500 0.7500 0.7500

***

(10)
# Cr2InSbRh

A relaxed structure of Cr2InSbRh (PBE, Alexandria via LeMat-Bulk).

Calculated values
Raw formation energy (eV per atom): 1.178
M_tot (μB per formula unit): 8.55
Final energy (eV/atom): -5.514
Density (Mg/m³): 6.00
Symmetry: No. 123

abc: 5.0153 5.0153 4.8827
angles: 90.00 90.00 90.00
Positions (direct):
Cr: 0.0000 0.5000 0.0000
Cr: 0.5000 0.0000 0.0000
In: 0.0000 0.0000 0.0000
Sb: 0.5000 0.5000 0.5000
Rh: 0.0000 0.0000 0.5000

***

(11)
# ScCr2InRh

A relaxed structure of ScCr2InRh (PBE, Alexandria via LeMat-Bulk).

Calculated values
M_tot (μB per formula unit): 0.00
Final energy (eV/atom): -5.427
Density (Mg/m³): 6.60
Symmetry: No. 123
Energy above the most stable polymorph in this dataset (meV per atom): 1154

abc: 4.2153 4.2153 5.1942
angles: 90.00 90.00 90.00
Positions (direct):
Sc: 0.0000 0.0000 0.0000
Cr: 0.0000 0.5000 0.0000
Cr: 0.5000 0.0000 0.0000
In: 0.0000 0.0000 0.5000
Rh: 0.5000 0.5000 0.5000

***

(12)
# ScCr2InRh

A relaxed structure of ScCr2InRh (PBE, Alexandria via LeMat-Bulk).

Calculated values
M_tot (μB per formula unit): 7.52
Final energy (eV/atom): -6.580
Density (Mg/m³): 5.15
Symmetry: No. 123
Energy above the most stable polymorph in this dataset (meV per atom): 0

abc: 4.9493 4.9493 4.8305
angles: 90.00 90.00 90.00
Positions (direct):
Sc: 0.0000 0.0000 0.0000
Cr: 0.0000 0.5000 0.5000
Cr: 0.5000 0.0000 0.5000
In: 0.5000 0.5000 0.0000
Rh: 0.0000 0.0000 0.5000

***

(13)
# SrCrIn2Rh

A relaxed structure of SrCrIn2Rh (PBE, Alexandria via LeMat-Bulk).

Calculated values
M_tot (μB per formula unit): 4.73
Final energy (eV/atom): -4.028
Density (Mg/m³): 5.44
Symmetry: No. 123

abc: 5.0890 5.0890 5.5656
angles: 90.00 90.00 90.00
Positions (direct):
Sr: 0.0000 0.0000 0.0000
Cr: 0.0000 0.0000 0.5000
In: 0.0000 0.5000 0.5000
In: 0.5000 0.0000 0.5000
Rh: 0.5000 0.5000 0.0000

***

(14)
# TiCrInRh

A relaxed structure of TiCrInRh (PBE, Alexandria via LeMat-Bulk).

Calculated values
M_tot (μB per formula unit): 2.23
Final energy (eV/atom): -7.132
Density (Mg/m³): 8.31
Symmetry: No. 216

abc: 4.4765 4.4765 4.4765
angles: 60.00 60.00 60.00
Positions (direct):
Ti: 0.0000 0.0000 0.0000
Cr: 0.2500 0.2500 0.2500
In: 0.5000 0.5000 0.5000
Rh: 0.7500 0.7500 0.7500

***

(15)
# ZnCrInRh

A relaxed structure of ZnCrInRh (PBE, Alexandria via LeMat-Bulk).

Calculated values
M_tot (μB per formula unit): 3.41
Final energy (eV/atom): -5.338
Density (Mg/m³): 8.81
Symmetry: No. 216

abc: 4.4703 4.4703 4.4703
angles: 60.00 60.00 60.00
Positions (direct):
Zn: 0.0000 0.0000 0.0000
Cr: 0.7500 0.7500 0.7500
In: 0.5000 0.5000 0.5000
Rh: 0.2500 0.2500 0.2500

***

(16)
# ZrCrInRh

A relaxed structure of ZrCrInRh (PBE, Alexandria via LeMat-Bulk).

Calculated values
M_tot (μB per formula unit): 4.03
Final energy (eV/atom): -7.359
Density (Mg/m³): 8.42
Symmetry: No. 216

abc: 4.6512 4.6512 4.6512
angles: 60.00 60.00 60.00
Positions (direct):
Zr: 0.0000 0.0000 0.0000
Cr: 0.2500 0.2500 0.2500
In: 0.5000 0.5000 0.5000
Rh: 0.7500 0.7500 0.7500

***

(17)
# CrInRu

A relaxed structure of CrInRu (PBE, Alexandria via LeMat-Bulk).

Calculated values
M_tot (μB per formula unit): 0.71
Final energy (eV/atom): -7.064
Density (Mg/m³): 9.48
Symmetry: No. 107

abc: 5.8854 5.8854 5.8854
angles: 151.30 151.30 41.03
Positions (direct):
Cr: 0.0000 0.0000 0.0000
In: 0.6852 0.6852 0.0000
Ru: 0.3747 0.3747 0.0000

***

(18)
# Cr2InRu

A relaxed structure of Cr2InRu (PBE, Alexandria via LeMat-Bulk).

Calculated values
M_tot (μB per formula unit): 0.00
Final energy (eV/atom): -7.513
Density (Mg/m³): 8.84
Symmetry: No. 47
Energy above the most stable polymorph in this dataset (meV per atom): 99

abc: 2.8197 3.8830 5.4876
angles: 90.00 90.00 90.00
Positions (direct):
Cr: 0.0000 0.0000 0.1924
Cr: 0.0000 0.0000 0.8076
In: 0.5000 0.5000 0.5000
Ru: 0.5000 0.5000 0.0000

***

(19)
# Cr2InRu

A relaxed structure of Cr2InRu (PBE, Alexandria via LeMat-Bulk).

Calculated values
M_tot (μB per formula unit): 5.40
Final energy (eV/atom): -7.389
Density (Mg/m³): 8.58
Symmetry: No. 65
Energy above the most stable polymorph in this dataset (meV per atom): 223

abc: 4.5658 4.5658 3.0086
angles: 90.00 90.00 99.09
Positions (direct):
Cr: 0.0000 0.5000 0.0000
Cr: 0.5000 0.0000 0.0000
In: 0.0000 0.0000 0.5000
Ru: 0.5000 0.5000 0.5000

***

(20)
# Cr2InRu

A relaxed structure of Cr2InRu (PBE, Alexandria via LeMat-Bulk).

Calculated values
M_tot (μB per formula unit): 0.85
Final energy (eV/atom): -7.612
Density (Mg/m³): 9.00
Symmetry: No. 99
Energy above the most stable polymorph in this dataset (meV per atom): 0

abc: 3.0604 3.0604 6.3022
angles: 90.00 90.00 90.00
Positions (direct):
Cr: 0.0000 0.0000 0.0000
Cr: 0.5000 0.5000 0.1875
In: 0.0000 0.0000 0.4793
Ru: 0.5000 0.5000 0.7590

***

(21)
# Cr2InRu

A relaxed structure of Cr2InRu (PBE, Alexandria via LeMat-Bulk).

Calculated values
M_tot (μB per formula unit): 0.00
Final energy (eV/atom): -7.314
Density (Mg/m³): 9.03
Symmetry: No. 166
Energy above the most stable polymorph in this dataset (meV per atom): 298

abc: 8.8738 8.8738 8.8738
angles: 18.09 18.09 18.09
Positions (direct):
Cr: 0.2436 0.2436 0.2436
Cr: 0.7564 0.7564 0.7564
In: 0.0000 0.0000 0.0000
Ru: 0.5000 0.5000 0.5000

***

(22)
# Cr2InRu

A relaxed structure of Cr2InRu (PBE, Alexandria via LeMat-Bulk).

Calculated values
M_tot (μB per formula unit): 0.00
Final energy (eV/atom): -7.490
Density (Mg/m³): 8.76
Symmetry: No. 12
Energy above the most stable polymorph in this dataset (meV per atom): 122

abc: 4.8781 4.8781 4.5841
angles: 105.55 105.55 35.40
Positions (direct):
Cr: 0.2359 0.2359 0.1733
Cr: 0.7641 0.7641 0.8267
In: 0.0000 0.0000 0.5000
Ru: 0.5000 0.5000 0.0000

***

(23)
# Cr2InRu

A relaxed structure of Cr2InRu (PBE, Alexandria via LeMat-Bulk).

Calculated values
M_tot (μB per formula unit): 0.00
Final energy (eV/atom): -7.438
Density (Mg/m³): 8.92
Symmetry: No. 160
Energy above the most stable polymorph in this dataset (meV per atom): 174

abc: 8.4523 8.4523 8.4523
angles: 19.62 19.62 19.62
Positions (direct):
Cr: 0.0000 0.0000 0.0000
Cr: 0.2694 0.2694 0.2694
In: 0.5067 0.5067 0.5067
Ru: 0.7455 0.7455 0.7455

***

(24)
# Cr2InRu

A relaxed structure of Cr2InRu (PBE, Alexandria via LeMat-Bulk).

Calculated values
M_tot (μB per formula unit): 0.00
Final energy (eV/atom): -7.475
Density (Mg/m³): 9.19
Symmetry: No. 71
Energy above the most stable polymorph in this dataset (meV per atom): 137

abc: 5.0979 5.0979 5.0979
angles: 144.56 130.52 62.33
Positions (direct):
Cr: 0.2404 0.2404 0.0000
Cr: 0.7596 0.7596 0.0000
In: 0.5000 0.0000 0.5000
Ru: 0.0000 0.5000 0.5000

***

(25)
# Cr4InRu

A relaxed structure of Cr4InRu (PBE, Alexandria via LeMat-Bulk).

Calculated values
M_tot (μB per formula unit): 0.00
Final energy (eV/atom): -8.207
Density (Mg/m³): 8.75
Symmetry: No. 216

abc: 4.8450 4.8450 4.8450
angles: 60.00 60.00 60.00
Positions (direct):
Cr: 0.3770 0.3770 0.3770
Cr: 0.3770 0.3770 0.8690
Cr: 0.3770 0.8690 0.3770
Cr: 0.8690 0.3770 0.3770
In: 0.7500 0.7500 0.7500
Ru: 0.0000 0.0000 0.0000

***

(26)
# CrIn2Ru2

A relaxed structure of CrIn2Ru2 (PBE, Alexandria via LeMat-Bulk).

Calculated values
M_tot (μB per formula unit): 0.00
Final energy (eV/atom): -6.449
Density (Mg/m³): 9.27
Symmetry: No. 127
Energy above the most stable polymorph in this dataset (meV per atom): 0

abc: 6.3342 6.3342 4.3191
angles: 90.00 90.00 90.00
Positions (direct):
Cr: 0.0000 0.0000 0.0000
Cr: 0.5000 0.5000 0.0000
In: 0.1726 0.3274 0.5000
In: 0.3274 0.8274 0.5000
In: 0.6726 0.1726 0.5000
In: 0.8274 0.6726 0.5000
Ru: 0.1404 0.6404 0.0000
Ru: 0.3596 0.1404 0.0000
Ru: 0.6404 0.8596 0.0000
Ru: 0.8596 0.3596 0.0000

***

(27)
# CrInRu

A relaxed structure of CrInRu (PBE, Alexandria via LeMat-Bulk).

Calculated values
M_tot (μB per formula unit): 2.59
Final energy (eV/atom): -6.692
Density (Mg/m³): 7.76
Symmetry: No. 216

abc: 4.3279 4.3279 4.3279
angles: 60.00 60.00 60.00
Positions (direct):
Cr: 0.0000 0.0000 0.0000
In: 0.5000 0.5000 0.5000
Ru: 0.7500 0.7500 0.7500

***

(28)
# Cr2InRu

A relaxed structure of Cr2InRu (PBE, Alexandria via LeMat-Bulk).

Calculated values
M_tot (μB per formula unit): 0.58
Final energy (eV/atom): -7.553
Density (Mg/m³): 8.58
Symmetry: No. 47
Energy above the most stable polymorph in this dataset (meV per atom): 59

abc: 3.2530 4.2471 4.4812
angles: 90.00 90.00 90.00
Positions (direct):
Cr: 0.0000 0.0000 0.0000
Cr: 0.5000 0.5000 0.0000
In: 0.0000 0.5000 0.5000
Ru: 0.5000 0.0000 0.5000

***

(29)
# CrInRu

A relaxed structure of CrInRu (PBE, Alexandria via LeMat-Bulk).

Calculated values
M_tot (μB per formula unit): 1.66
Final energy (eV/atom): -6.894
Density (Mg/m³): 9.25
Symmetry: No. 156

abc: 4.3136 4.3136 2.9847
angles: 90.00 90.00 120.00
Positions (direct):
Cr: 0.0000 0.0000 0.0000
In: 0.6667 0.3333 0.4988
Ru: 0.3333 0.6667 0.9976

***

(30)
# Cr2InRu

A relaxed structure of Cr2InRu (PBE, Alexandria via LeMat-Bulk).

Calculated values
M_tot (μB per formula unit): 0.01
Final energy (eV/atom): -7.397
Density (Mg/m³): 8.96
Symmetry: No. 35
Energy above the most stable polymorph in this dataset (meV per atom): 215

abc: 2.7805 2.7805 8.4534
angles: 90.00 90.00 114.87
Positions (direct):
Cr: 0.0000 0.0000 0.0000
Cr: 0.5000 0.5000 0.2008
In: 0.5000 0.5000 0.7182
Ru: 0.0000 0.0000 0.4386